This record from the Alexandria database describes a relaxed Mg4Ga3Pd2 crystal. The functional is GGA-PBE.

**DOS at the Fermi energy**: 2.41 states/eV per cell
**Energy of formation from the pure elements**: -440 meV/atom

Cell: 7.1902 7.1902 5.5798 Å, 98.63 98.63 35.15°
With the nearest neighbours (Å) after each atom.
Fractional coordinates of all 9 atoms:
Mg (0.0887, 0.0887, 0.3756)  3 Pd 2.70-2.89, 2 Ga 2.76, 1 Mg 2.98
Mg (0.2854, 0.2854, 0.8147)  3 Pd 2.71-3.03, 5 Ga 2.88-3.01
Mg (0.7146, 0.7146, 0.1853)  3 Pd 2.71-3.03, 5 Ga 2.88-3.01
Mg (0.9113, 0.9113, 0.6244)  3 Pd 2.70-2.89, 2 Ga 2.76, 1 Mg 2.98
Ga (0.3552, 0.3552, 0.3301)  2 Pd 2.65, 5 Mg 2.76-2.93, 1 Ga 2.91
Ga (0.5000, 0.5000, 0.0000)  4 Pd 2.65, 2 Ga 2.91, 2 Mg 2.96
Ga (0.6448, 0.6448, 0.6699)  2 Pd 2.65, 5 Mg 2.76-2.93, 1 Ga 2.91
Pd (0.0959, 0.0959, 0.8953)  4 Ga 2.65, 4 Mg 2.70-2.89
Pd (0.9041, 0.9041, 0.1047)  4 Ga 2.65, 4 Mg 2.70-2.89



This record from the Alexandria database describes a relaxed Nb6N5 crystal. The functional is GGA-PBE.

**DOS at the Fermi energy**: 3.79 states/eV per cell
**Energy relative to the elements, uncorrected**: -0.932 eV per atom

Cell: 5.4086 5.4086 5.3971 Å, 99.39 99.39 119.92°
With the nearest neighbours (Å) after each atom.
Fractional coordinates of all 11 atoms:
Nb (0.0762, 0.3876, 0.2379)  5 N 2.18-2.32
Nb (0.2409, 0.2409, 0.7642)  5 N 2.21-2.30
Nb (0.3876, 0.0762, 0.2379)  5 N 2.18-2.32
Nb (0.6124, 0.9238, 0.7621)  5 N 2.18-2.32
Nb (0.7591, 0.7591, 0.2358)  5 N 2.21-2.30
Nb (0.9238, 0.6124, 0.7621)  5 N 2.18-2.32
N (0.1714, 0.8286, 0.5000)  6 Nb 2.18-2.32
N (0.3320, 0.6680, 0.0000)  6 Nb 2.21-2.23
N (0.5000, 0.5000, 0.5000)  6 Nb 2.21-2.30
N (0.6680, 0.3320, 0.0000)  6 Nb 2.21-2.23
N (0.8286, 0.1714, 0.5000)  6 Nb 2.18-2.32



This record from the Alexandria database describes a relaxed Ba2InNiBi crystal. The functional is GGA-PBE.

**DOS at the Fermi energy**: 0.75 states/eV per cell
**Energy of formation from the pure elements**: -427 meV/atom

Cell: 5.8550 5.8550 5.0494 Å, 90.00 90.00 90.00°
With the nearest neighbours (Å) after each atom.
Fractional coordinates of all 5 atoms:
Ba (0.0000, 0.5000, 0.0000)  2 Ni 2.93
Ba (0.5000, 0.0000, 0.0000)  2 Ni 2.93
In (0.0000, 0.0000, 0.5000)  2 Ni 2.52
Ni (0.0000, 0.0000, 0.0000)  2 In 2.52
Bi (0.5000, 0.5000, 0.5000)  8 Ba 3.87, 4 In 4.14



Q: What is the DOS at the Fermi energy in the second record?
A: 3.79 states/eV per cell